(1)
Compound: NaSr3As
Source: the Alexandria database
Functional: PBE
Structure: optimized geometry

Output
The value obtained for the formation enthalpy at 0 K is 0.414 eV/atom. For the energy relative to the lowest polymorph listed for this composition, the calculation gives 911 meV per atom.

Unit cell a=6.103 b=6.103 c=6.103 alpha=90.00 beta=90.00 gamma=90.00
Positions (direct):
As: 0.500 0.500 0.500
Sr: 0.500 0.000 0.000
Sr: 0.000 0.500 0.000
Sr: 0.000 0.000 0.500
Na: 0.000 0.000 0.000

***

(2)
Compound: ScMnOs2
Source: the Alexandria database
Functional: PBE
Structure: optimized geometry

Output
The value obtained for the formation enthalpy at 0 K is 0.277 eV/atom.

Unit cell a=9.097 b=9.097 c=9.097 alpha=17.81 beta=17.81 gamma=17.81
Positions (direct):
Mn: 0.746 0.746 0.746
Os: 0.255 0.255 0.255
Os: 0.000 0.000 0.000
Sc: 0.498 0.498 0.498